Entry 1:
K3AsCl | PBEsol | relaxed

Summary:
* total magnetic moment: 1.01 μB/f.u.
* distance to the lowest polymorph of the same formula: 0 meV per atom
* formation energy without anion corrections: -0.71 eV per atom
* symmetry: Pm-3m, No. 221

Lattice parameters (Å, degrees): 5.7348 5.7348 5.7348 90.00 90.00 90.00
Sites, in units of the cell vectors:
K1 0.0000 0.0000 0.5000
K2 0.0000 0.5000 0.0000
K3 0.5000 0.0000 0.0000
As1 0.5000 0.5000 0.5000
Cl1 0.0000 0.0000 0.0000

***

Entry 2:
K3AsCl6 | PBEsol | relaxed

Summary:
* total magnetic moment: 0.00 μB/f.u.
* formation energy without anion corrections: -1.39 eV per atom
* symmetry: Fm-3m, No. 225

Lattice parameters (Å, degrees): 7.5771 7.5771 7.5771 60.00 60.00 60.00
Sites, in units of the cell vectors:
K1 0.0000 0.0000 0.0000
K2 0.2500 0.2500 0.2500
K3 0.7500 0.7500 0.7500
As1 0.5000 0.5000 0.5000
Cl1 0.2697 0.2697 0.7303
Cl2 0.2697 0.7303 0.2697
Cl3 0.2697 0.7303 0.7303
Cl4 0.7303 0.2697 0.2697
Cl5 0.7303 0.2697 0.7303
Cl6 0.7303 0.7303 0.2697

***

Entry 3:
KNbAs2Cl | PBEsol | relaxed

Summary:
* total magnetic moment: 1.13 μB/f.u.
* formation energy without anion corrections: 0.73 eV per atom
* symmetry: P4/mmm, No. 123

Lattice parameters (Å, degrees): 5.2828 5.2828 4.4808 90.00 90.00 90.00
Sites, in units of the cell vectors:
K1 0.0000 0.0000 0.0000
Nb1 0.5000 0.5000 0.0000
As1 0.0000 0.5000 0.5000
As2 0.5000 0.0000 0.5000
Cl1 0.5000 0.5000 0.5000

***

Entry 4:
K2AsPbCl | PBEsol | relaxed

Summary:
* total magnetic moment: 0.00 μB/f.u.
* formation energy without anion corrections: -0.35 eV per atom
* symmetry: P4/mmm, No. 123

Lattice parameters (Å, degrees): 5.4384 5.4384 5.6774 90.00 90.00 90.00
Sites, in units of the cell vectors:
K1 0.0000 0.5000 0.0000
K2 0.5000 0.0000 0.0000
As1 0.0000 0.0000 0.5000
Pb1 0.5000 0.5000 0.5000
Cl1 0.5000 0.5000 0.0000

***

Entry 5:
KRb2AsCl6 | PBEsol | relaxed

Summary:
* total magnetic moment: 0.00 μB/f.u.
* formation energy without anion corrections: -1.43 eV per atom
* symmetry: Fm-3m, No. 225

Lattice parameters (Å, degrees): 7.6076 7.6076 7.6076 60.00 60.00 60.00
Sites, in units of the cell vectors:
K1 0.0000 0.0000 0.0000
Rb1 0.2500 0.2500 0.2500
Rb2 0.7500 0.7500 0.7500
As1 0.5000 0.5000 0.5000
Cl1 0.2702 0.2702 0.7298
Cl2 0.2702 0.7298 0.2702
Cl3 0.2702 0.7298 0.7298
Cl4 0.7298 0.2702 0.2702
Cl5 0.7298 0.2702 0.7298
Cl6 0.7298 0.7298 0.2702

***

Entry 6:
K2RbAsCl6 | PBEsol | relaxed

Summary:
* total magnetic moment: 0.00 μB/f.u.
* formation energy without anion corrections: -1.37 eV per atom
* symmetry: Fm-3m, No. 225

Lattice parameters (Å, degrees): 7.7412 7.7412 7.7412 60.00 60.00 60.00
Sites, in units of the cell vectors:
K1 0.2500 0.2500 0.2500
K2 0.7500 0.7500 0.7500
Rb1 0.0000 0.0000 0.0000
As1 0.5000 0.5000 0.5000
Cl1 0.2743 0.2743 0.7257
Cl2 0.2743 0.7257 0.2743
Cl3 0.2743 0.7257 0.7257
Cl4 0.7257 0.2743 0.2743
Cl5 0.7257 0.2743 0.7257
Cl6 0.7257 0.7257 0.2743